[1]
PBE Li2SbBr, optimized geometry; total moment = 0.00 μB/f.u.; raw formation energy = -0.78 eV per atom
1.0
3.3260 0.0000 0.0000
0.0000 3.3260 0.0000
0.0000 0.0000 7.8179
Li Sb Br
2 1 1
Cartesian
0.0000 0.0000 1.6799
0.0000 0.0000 6.1380
1.6630 1.6630 3.9090
1.6630 1.6630 0.0000

=====

[2]
PBE TiFe2CuRu, optimized geometry; total moment = 0.07 μB/f.u.; DFT total energy = -6.27 eV per atom
1.0
4.1726 0.0000 0.0000
0.0000 4.1726 0.0000
0.0000 0.0000 4.3777
Ti Fe Cu Ru
1 2 1 1
Cartesian
0.0000 0.0000 0.0000
0.0000 2.0863 2.1888
2.0863 0.0000 2.1888
0.0000 0.0000 2.1888
2.0863 2.0863 0.0000

=====

[3]
PBE TaRe2Pt, optimized geometry; total moment = 0.00 μB/f.u.; DFT total energy = -10.82 eV per atom
1.0
-1.9736 1.9736 4.0507
1.9736 -1.9736 4.0507
1.9736 1.9736 -4.0507
Ta Re Pt
1 2 1
Cartesian
0.0000 0.0000 0.0000
1.9736 0.0000 2.0254
0.0000 1.9736 2.0254
0.0000 0.0000 4.0507

=====

[4]
PBE Na6CdAu2, optimized geometry; total moment = 0.00 μB/f.u.; DFT total energy = -1.92 eV per atom
1.0
4.9844 -2.4092 0.0000
4.9844 2.4092 0.0000
-3.0667 0.0000 10.1615
Na Cd Au
6 1 2
Cartesian
-0.3480 0.0000 2.3771
0.3174 0.0000 6.1955
0.3326 0.0000 9.5255
6.5694 0.0000 0.6360
6.5846 0.0000 3.9660
7.2500 0.0000 7.7844
3.4510 0.0000 5.0808
2.7520 0.0000 2.3499
4.1500 0.0000 7.8116

=====

Number 2 is which compound?
TiFe2CuRu